Compound: Ac5PtPb4
Source: Alexandria
Functional: GGA-PBE
Structure: relaxed

The density of states at the Fermi level is 0.81 states/eV per atom.

a b c (Å): 10.6030 10.6030 6.8171
angles (deg): 90.00 90.00 90.00
Space group I4 (No. 79)
One atom of each set of equivalent atoms:
1 Ac 0.0000 0.0000 0.0000 [2 per cell]
2 Ac 0.0984 0.7309 0.4990 [8 per cell]
3 Pt 0.0000 0.0000 0.5001 [2 per cell]
4 Pb 0.0804 0.6874 0.9989 [8 per cell]

***

Compound: FeNiPd3
Source: Alexandria
Functional: GGA-PBE
Structure: relaxed

The value obtained for the offset from the most stable computed form is 0.868 eV per atom. The density of states at the Fermi level is 1.59 states/eV per atom.

a b c (Å): 4.5489 4.5489 4.5489
angles (deg): 90.00 90.00 90.00
Space group Pm-3m (No. 221)
One atom of each set of equivalent atoms:
1 Fe 0.0000 0.0000 0.0000 [1 per cell]
2 Ni 0.5000 0.5000 0.5000 [1 per cell]
3 Pd 0.0000 0.0000 0.5000 [3 per cell]

***

| no. | volume (Å³/f.u.) | energy (eV per atom) | formation enthalpy at 0 K (eV per atom) |
| --- | --- | --- | --- |
| 1 | 383.2 | -4.652 | -0.51 |
| 2 | 94.1 | -4.927 | 1.04 |